Below is an optimized crystal structure of Sc4SiIr, with properties calculated at the PBE level.

Lattice parameters (Å, degrees): 5.4476 5.4476 5.4476 60.00 60.00 60.00
Last column: nearest neighbours and their distance in Å.
Positions (direct):
Sc 0.3758 0.3758 0.3758  6 Sc 2.71-2.74
Sc 0.3758 0.3758 0.8727  6 Sc 2.71-2.74
Sc 0.3758 0.8727 0.3758  6 Sc 2.71-2.74
Sc 0.8727 0.3758 0.3758  6 Sc 2.71-2.74
Si 0.0000 0.0000 0.0000  12 Sc 3.20, 4 Ir 3.34
Ir 0.7500 0.7500 0.7500  12 Sc 3.19, 4 Si 3.34

Computed properties:
Size of the total moment in μB per cell: 0.00
Space-group type: F-43m
DOS at the Fermi energy in states/eV per atom: 1.1303
Density in Mg/m³: 5.8
Electronic total energy in eV/atom: -6.32



Below is an optimized crystal structure of CaErGa, with properties calculated at the PBE level.

Lattice parameters (Å, degrees): 5.0330 5.0330 3.7504 90.00 90.00 120.00
Last column: nearest neighbours and their distance in Å.
Positions (direct):
Ca 0.0000 0.0000 0.0000  3 Ga 3.17, 6 Er 3.39-3.53
Er 0.3333 0.6667 0.5333  3 Ga 3.00
Ga 0.6667 0.3333 0.3349  3 Er 3.00, 3 Ca 3.17

Computed properties:
Size of the total moment in μB per cell: 0.00
E_form in eV/atom: -0.188
Space-group type: P3m1
DOS at the Fermi energy in states/eV per atom: 0.3933
Distance to the lowest polymorph of the same formula in meV/atom: 154.3
Density in Mg/m³: 5.6



Below is an optimized crystal structure of CsCd3Pb3, with properties calculated at the PBE level.

Lattice parameters (Å, degrees): 10.3704 10.3704 10.3704 47.03 47.03 47.03
Last column: nearest neighbours and their distance in Å.
Positions (direct):
Cs 0.1765 0.1765 0.1765  3 Cd 4.11, 6 Pb 4.12
Cs 0.8235 0.8235 0.8235  3 Cd 4.11, 6 Pb 4.12
Cd 0.1764 0.4330 0.5878  2 Cd 2.98, 3 Pb 3.03-3.29
Cd 0.4122 0.8236 0.5670  2 Cd 2.98, 3 Pb 3.03-3.29
Cd 0.4330 0.5878 0.1764  2 Cd 2.98, 3 Pb 3.03-3.29
Cd 0.5670 0.4122 0.8236  2 Cd 2.98, 3 Pb 3.03-3.29
Cd 0.5878 0.1764 0.4330  2 Cd 2.98, 3 Pb 3.03-3.29
Cd 0.8236 0.5670 0.4122  2 Cd 2.98, 3 Pb 3.03-3.29
Pb 0.0340 0.1514 0.6720  3 Cd 3.03-3.29, 2 Pb 3.34
Pb 0.1514 0.6720 0.0340  3 Cd 3.03-3.29, 2 Pb 3.34
Pb 0.3280 0.9660 0.8486  3 Cd 3.03-3.29, 2 Pb 3.34
Pb 0.6720 0.0340 0.1514  3 Cd 3.03-3.29, 2 Pb 3.34
Pb 0.8486 0.3280 0.9660  3 Cd 3.03-3.29, 2 Pb 3.34
Pb 0.9660 0.8486 0.3280  3 Cd 3.03-3.29, 2 Pb 3.34

Computed properties:
Size of the total moment in μB per cell: 0.00
E_form in eV/atom: 0.036
Space-group type: R-3
DOS at the Fermi energy in states/eV per atom: 0.3389
Density in Mg/m³: 6.6



Below is an optimized crystal structure of CeMg2Ga2Ni, with properties calculated at the PBE level.

Lattice parameters (Å, degrees): 6.5712 6.5712 6.5712 134.68 134.68 66.03
Last column: nearest neighbours and their distance in Å.
Positions (direct):
Ce 0.0000 0.0000 0.0000  2 Ga 3.26, 4 Ni 3.58
Mg 0.2500 0.7500 0.5000  4 Ga 2.58
Mg 0.7500 0.2500 0.5000  4 Ga 2.58
Ga 0.2961 0.2961 0.0000  1 Ni 2.25
Ga 0.7039 0.7039 0.0000  1 Ni 2.25
Ni 0.5000 0.5000 0.0000  2 Ga 2.25

Computed properties:
Size of the total moment in μB per cell: 1.16
E_form in eV/atom: 0.151
Space-group type: I4/mmm
DOS at the Fermi energy in states/eV per atom: 1.6607
Density in Mg/m³: 4.5



Question: density of number 2 (CaErGa)?
Answer: 5.6 Mg/m³



What did the fourth record say?
Below is an optimized crystal structure of CeMg2Ga2Ni, with properties calculated at the PBE level.

Lattice parameters (Å, degrees): 6.5712 6.5712 6.5712 134.68 134.68 66.03
Last column: nearest neighbours and their distance in Å.
Positions (direct):
Ce 0.0000 0.0000 0.0000  2 Ga 3.26, 4 Ni 3.58
Mg 0.2500 0.7500 0.5000  4 Ga 2.58
Mg 0.7500 0.2500 0.5000  4 Ga 2.58
Ga 0.2961 0.2961 0.0000  1 Ni 2.25
Ga 0.7039 0.7039 0.0000  1 Ni 2.25
Ni 0.5000 0.5000 0.0000  2 Ga 2.25

Computed properties:
Size of the total moment in μB per cell: 1.16
E_form in eV/atom: 0.151
Space-group type: I4/mmm
DOS at the Fermi energy in states/eV per atom: 1.6607
Density in Mg/m³: 4.5